{"formula": "LaBeN", "functional": "PBE", "state": "optimized geometry", "lattice": [[3.790, -0.041, -0.215], [-0.041, 3.790, 0.215], [-0.436, 0.436, 7.047]], "species": ["La", "La", "Be", "Be", "N", "N"], "fractional_positions": [[0.797, 0.203, 0.188], [0.203, 0.797, 0.812], [0.651, 0.349, 0.610], [0.349, 0.651, 0.390], [0.283, 0.717, 0.166], [0.717, 0.283, 0.834]], "relative_energy_mev_per_atom": 59, "dft_energy_ev_per_cell": -39.32, "magnetic_moment_mub_per_fu": 0.000, "crystal_system": "monoclinic"}